DyTh2ZrSb5 | GGA-PBE | optimized geometry

## Properties
The electronic total energy comes out at -5.42 eV/atom. As for the formation energy from raw total energies: -0.14 eV/f.u.

abc: 5.272 5.272 11.187
angles: 90.00 90.00 90.00
Space group P4/mmm (No. 123)
One atom of each set of equivalent atoms:
1 Dy 0.000 0.000 0.000
2 Th 0.500 0.500 0.196
3 Zr 0.000 0.000 0.500
4 Sb 0.000 0.000 0.259
5 Sb 0.000 0.500 0.000
6 Sb 0.500 0.500 0.500

DyTiSb3 | GGA-PBE | optimized geometry

## Properties
The electronic total energy comes out at -5.64 eV/atom. As for the formation energy from raw total energies: -3.34 eV/f.u.

abc: 12.925 6.291 6.147
angles: 90.00 90.00 90.00
Space group Pbcm (No. 57)
One atom of each set of equivalent atoms:
1 Dy 0.184 0.009 0.250
2 Ti 0.406 0.750 0.000
3 Sb 0.003 0.750 0.000
4 Sb 0.267 0.502 0.250
5 Sb 0.426 0.112 0.250

DyTi3Sb2 | GGA-PBE | optimized geometry

## Properties
The electronic total energy comes out at -6.56 eV/atom. As for the formation energy from raw total energies: -2.82 eV/f.u.

abc: 16.905 4.117 8.493
angles: 90.00 116.43 90.00
Space group C2/m (No. 12)
One atom of each set of equivalent atoms:
1 Dy 0.134 0.000 0.056
2 Ti 0.058 0.000 0.421
3 Ti 0.086 0.500 0.662
4 Ti 0.191 0.500 0.478
5 Sb 0.025 0.500 0.185
6 Sb 0.217 0.000 0.744

DyTl2Sb | GGA-PBE | optimized geometry

## Properties
The electronic total energy comes out at -3.22 eV/atom. As for the formation energy from raw total energies: 0.59 eV/f.u.

abc: 3.5520 3.5520 34.5558
angles: 90.00 90.00 120.00
Space group R-3m (No. 166, hexagonal axes)
One atom of each set of equivalent atoms:
1 Dy 0.0000 0.0000 0.0000
2 Tl 0.0000 0.0000 0.0910
3 Sb 0.0000 0.0000 0.5000

Dy8Tl2Sb | GGA-PBE | optimized geometry

## Properties
The electronic total energy comes out at -4.33 eV/atom. As for the formation energy from raw total energies: -1.96 eV/f.u.

abc: 8.695 14.648 5.630
angles: 90.00 112.79 90.00
Space group C2/m (No. 12)
One atom of each set of equivalent atoms:
1 Dy 0.000 0.219 0.000
2 Dy 0.100 0.500 0.797
3 Dy 0.206 0.112 0.620
4 Tl 0.000 0.306 0.500
5 Sb 0.000 0.000 0.000

Dy8TlSb2 | GGA-PBE | optimized geometry

## Properties
The electronic total energy comes out at -4.69 eV/atom. As for the formation energy from raw total energies: -4.19 eV/f.u.

abc: 19.158 4.920 7.085
angles: 90.00 100.71 90.00
Space group C2/m (No. 12)
One atom of each set of equivalent atoms:
1 Dy 0.017 0.000 0.255
2 Dy 0.094 0.500 0.987
3 Dy 0.163 0.500 0.519
4 Dy 0.215 0.000 0.846
5 Tl 0.000 0.500 0.500
6 Sb 0.180 0.000 0.266

Dy4TlSb3 | GGA-PBE | optimized geometry

## Properties
The electronic total energy comes out at -4.98 eV/atom. As for the formation energy from raw total energies: -6.73 eV/f.u.

abc: 6.208 6.208 6.208
angles: 90.00 90.00 90.00
Space group Pm-3m (No. 221)
One atom of each set of equivalent atoms:
1 Dy 0.000 0.000 0.000
2 Dy 0.000 0.500 0.500
3 Tl 0.500 0.500 0.500
4 Sb 0.000 0.000 0.500

Dy5TlSb4 | GGA-PBE | optimized geometry

## Properties
The electronic total energy comes out at -5.09 eV/atom. As for the formation energy from raw total energies: -8.99 eV/f.u.

abc: 9.823 9.823 6.189
angles: 90.00 90.00 90.00
Space group I4/m (No. 87)
One atom of each set of equivalent atoms:
1 Dy 0.000 0.000 0.000
2 Dy 0.104 0.692 0.500
3 Tl 0.000 0.000 0.500
4 Sb 0.101 0.701 0.000

Question: formation energy from raw total energies of number 2 (DyTiSb3)?
Answer: -3.34 eV/f.u.

Question: Which of these has the highest electronic total energy?
Answer: DyTl2Sb

Question: Which of these has the lowest formation energy from raw total energies?
Answer: Dy5TlSb4

Question: Among the records above, which one has the lowest electronic total energy?
Answer: DyTi3Sb2